Entry 1:
Below is a relaxed structure of ErZrIrO6, with properties calculated at the PBE level.

Cell lengths 5.312, 5.312, 9.744 Å; angles 90.00, 90.00, 120.00 degrees
Element x y z (fractional)
1 Er 0.000 0.000 0.000
2 Er 0.000 0.000 0.500
3 Zr 0.333 0.667 0.250
4 Zr 0.667 0.333 0.750
5 Ir 0.333 0.667 0.750
6 Ir 0.667 0.333 0.250
7 O 0.019 0.357 0.636
8 O 0.019 0.661 0.864
9 O 0.339 0.357 0.864
10 O 0.339 0.981 0.636
11 O 0.357 0.019 0.136
12 O 0.357 0.339 0.364
13 O 0.643 0.661 0.636
14 O 0.643 0.981 0.864
15 O 0.661 0.019 0.364
16 O 0.661 0.643 0.136
17 O 0.981 0.339 0.136
18 O 0.981 0.643 0.364

Values from the calculation:
formation energy without anion corrections	-2.307	eV/atom
SG	P-31c, No. 163

***

Entry 2:
Below is a relaxed structure of Zr4ZnAu, with properties calculated at the PBE level.

Cell lengths 5.668, 5.668, 5.668 Å; angles 60.00, 60.00, 60.00 degrees
Element x y z (fractional)
1 Zr 0.125 0.125 0.125
2 Zr 0.125 0.125 0.624
3 Zr 0.125 0.624 0.125
4 Zr 0.624 0.125 0.125
5 Zn 0.500 0.500 0.500
6 Au 0.750 0.750 0.750

Values from the calculation:
calculated formation energy	262	meV/atom
energy above the lowest structure with this stoichiometry	0.0	meV per atom
SG	F-43m, No. 216

***

Entry 3:
Below is a relaxed structure of Eu3Cd5S12, with properties calculated at the PBE level.

Cell lengths 13.730, 13.730, 13.730 Å; angles 109.47, 109.47, 109.47 degrees
Element x y z (fractional)
1 Eu 0.125 0.250 0.375
2 Eu 0.125 0.375 0.750
3 Eu 0.250 0.375 0.125
4 Eu 0.250 0.875 0.625
5 Eu 0.375 0.125 0.250
6 Eu 0.375 0.750 0.125
7 Eu 0.625 0.250 0.875
8 Eu 0.625 0.875 0.750
9 Eu 0.750 0.125 0.375
10 Eu 0.750 0.625 0.875
11 Eu 0.875 0.625 0.250
12 Eu 0.875 0.750 0.625
13 Cd 0.000 0.000 0.000
14 Cd 0.000 0.000 0.500
15 Cd 0.000 0.500 0.000
16 Cd 0.000 0.500 0.500
17 Cd 0.125 0.750 0.875
18 Cd 0.125 0.875 0.250
19 Cd 0.250 0.125 0.875
20 Cd 0.250 0.625 0.375
21 Cd 0.375 0.250 0.625
22 Cd 0.375 0.625 0.750
23 Cd 0.500 0.000 0.000
24 Cd 0.500 0.000 0.500
25 Cd 0.500 0.500 0.000
26 Cd 0.500 0.500 0.500
27 Cd 0.625 0.375 0.250
28 Cd 0.625 0.750 0.375
29 Cd 0.750 0.375 0.625
30 Cd 0.750 0.875 0.125
31 Cd 0.875 0.125 0.750
32 Cd 0.875 0.250 0.125
33 S 0.050 0.222 0.135
34 S 0.050 0.328 0.915
35 S 0.085 0.635 0.412
36 S 0.085 0.950 0.672
37 S 0.088 0.722 0.672
38 S 0.088 0.865 0.415
39 S 0.135 0.050 0.222
40 S 0.135 0.585 0.912
41 S 0.172 0.222 0.588
42 S 0.172 0.450 0.585
43 S 0.222 0.135 0.050
44 S 0.222 0.588 0.172
45 S 0.278 0.328 0.912
46 S 0.278 0.450 0.365
47 S 0.328 0.912 0.278
48 S 0.328 0.915 0.050
49 S 0.365 0.278 0.450
50 S 0.365 0.588 0.915
51 S 0.412 0.085 0.635
52 S 0.412 0.828 0.778
53 S 0.415 0.088 0.865
54 S 0.415 0.828 0.550
55 S 0.450 0.365 0.278
56 S 0.450 0.585 0.172
57 S 0.550 0.415 0.828
58 S 0.550 0.635 0.722
59 S 0.585 0.172 0.450
60 S 0.585 0.912 0.135
61 S 0.588 0.172 0.222
62 S 0.588 0.915 0.365
63 S 0.635 0.412 0.085
64 S 0.635 0.722 0.550
65 S 0.672 0.085 0.950
66 S 0.672 0.088 0.722
67 S 0.722 0.550 0.635
68 S 0.722 0.672 0.088
69 S 0.778 0.412 0.828
70 S 0.778 0.865 0.950
71 S 0.828 0.550 0.415
72 S 0.828 0.778 0.412
73 S 0.865 0.415 0.088
74 S 0.865 0.950 0.778
75 S 0.912 0.135 0.585
76 S 0.912 0.278 0.328
77 S 0.915 0.050 0.328
78 S 0.915 0.365 0.588
79 S 0.950 0.672 0.085
80 S 0.950 0.778 0.865

Values from the calculation:
formation energy without anion corrections	-0.630	eV/atom
SG	Ia-3d, No. 230

***

Entry 4:
Below is a relaxed structure of CeNp6S12, with properties calculated at the PBE level.

Cell lengths 7.891, 7.891, 7.891 Å; angles 99.94, 99.94, 99.94 degrees
Element x y z (fractional)
1 Ce 0.000 0.000 0.000
2 Np 0.136 0.619 0.308
3 Np 0.308 0.136 0.619
4 Np 0.381 0.692 0.864
5 Np 0.619 0.308 0.136
6 Np 0.692 0.864 0.381
7 Np 0.864 0.381 0.692
8 S 0.057 0.669 0.936
9 S 0.064 0.943 0.331
10 S 0.178 0.429 0.578
11 S 0.331 0.064 0.943
12 S 0.422 0.822 0.571
13 S 0.429 0.578 0.178
14 S 0.571 0.422 0.822
15 S 0.578 0.178 0.429
16 S 0.669 0.936 0.057
17 S 0.822 0.571 0.422
18 S 0.936 0.057 0.669
19 S 0.943 0.331 0.064

Values from the calculation:
formation energy without anion corrections	-1.434	eV/atom
SG	R-3, No. 148

***

Entry 5:
Below is a relaxed structure of BeCd4Co, with properties calculated at the PBE level.

Cell lengths 5.497, 5.497, 5.497 Å; angles 60.00, 60.00, 60.00 degrees
Element x y z (fractional)
1 Be 0.000 0.000 0.000
2 Cd 0.126 0.625 0.625
3 Cd 0.625 0.126 0.625
4 Cd 0.625 0.625 0.126
5 Cd 0.625 0.625 0.625
6 Co 0.250 0.250 0.250

Values from the calculation:
calculated formation energy	753	meV/atom
SG	F-43m, No. 216

***

Entry 6:
Below is a relaxed structure of HgBiI, with properties calculated at the PBE level.

Cell lengths 8.393, 8.393, 7.120 Å; angles 114.34, 114.34, 30.99 degrees
Element x y z (fractional)
1 Hg 0.000 0.000 0.000
2 Hg 0.624 0.624 0.577
3 Bi 0.447 0.447 0.577
4 Bi 0.877 0.877 0.241
5 I 0.268 0.268 0.768
6 I 0.684 0.684 0.204

Values from the calculation:
formation energy without anion corrections	-0.133	eV/atom
energy above the lowest structure with this stoichiometry	34.3	meV per atom
SG	Cm, No. 8

***

Entry 7:
Below is a relaxed structure of PaSbSe2N, with properties calculated at the PBE level.

Cell lengths 4.015, 4.015, 13.865 Å; angles 90.00, 90.00, 90.00 degrees
Element x y z (fractional)
1 Pa 0.250 0.250 0.083
2 Pa 0.750 0.750 0.917
3 Sb 0.250 0.250 0.613
4 Sb 0.750 0.750 0.387
5 Se 0.250 0.250 0.390
6 Se 0.250 0.250 0.812
7 Se 0.750 0.750 0.188
8 Se 0.750 0.750 0.610
9 N 0.250 0.750 0.000
10 N 0.750 0.250 0.000

Values from the calculation:
formation energy without anion corrections	-1.023	eV/atom
SG	P4/nmm, No. 129

***

Entry 8:
Below is a relaxed structure of CoHg2Pb, with properties calculated at the PBE level.

Cell lengths 5.268, 5.268, 3.560 Å; angles 90.00, 90.00, 114.97 degrees
Element x y z (fractional)
1 Co 0.000 0.000 0.000
2 Hg 0.000 0.500 0.500
3 Hg 0.500 0.000 0.500
4 Pb 0.500 0.500 0.000

Values from the calculation:
calculated formation energy	525	meV/atom
SG	Cmmm, No. 65

***

Entry 9:
Below is a relaxed structure of CuNiPb, with properties calculated at the PBE level.

Cell lengths 4.197, 4.197, 3.349 Å; angles 90.00, 90.00, 120.00 degrees
Element x y z (fractional)
1 Cu 0.000 0.000 0.000
2 Ni 0.667 0.333 0.020
3 Pb 0.333 0.667 0.510

Values from the calculation:
calculated formation energy	304	meV/atom
energy above the lowest structure with this stoichiometry	149.1	meV per atom
SG	P3m1, No. 156

***

Entry 10:
Below is a relaxed structure of BiPtO2, with properties calculated at the PBE level.

Cell lengths 7.479, 7.479, 7.479 Å; angles 146.56, 146.56, 48.01 degrees
Element x y z (fractional)
1 Bi 0.000 0.000 0.000
2 Bi 0.750 0.250 0.500
3 Pt 0.250 0.750 0.500
4 Pt 0.500 0.500 0.000
5 O 0.170 0.625 0.045
6 O 0.375 0.420 0.545
7 O 0.580 0.125 0.955
8 O 0.875 0.830 0.455

Values from the calculation:
formation energy without anion corrections	-0.258	eV/atom
SG	I-42d, No. 122

***

Entry 11:
Below is a relaxed structure of Ac6Os2SBr3, with properties calculated at the PBE level.

Cell lengths 7.612, 7.612, 8.554 Å; angles 98.42, 98.42, 120.02 degrees
Element x y z (fractional)
1 Ac 0.084 0.435 0.803
2 Ac 0.215 0.215 0.197
3 Ac 0.435 0.084 0.803
4 Ac 0.565 0.916 0.197
5 Ac 0.785 0.785 0.803
6 Ac 0.916 0.565 0.197
7 Os 0.166 0.834 0.000
8 Os 0.834 0.166 0.000
9 S 0.500 0.500 0.000
10 Br 0.000 0.000 0.500
11 Br 0.332 0.668 0.500
12 Br 0.668 0.332 0.500

Values from the calculation:
formation energy without anion corrections	-1.067	eV/atom
SG	C2/m, No. 12

***

Entry 12:
Below is a relaxed structure of Hf3ZrS8, with properties calculated at the PBE level.

Cell lengths 7.315, 7.315, 8.055 Å; angles 117.41, 117.41, 60.01 degrees
Element x y z (fractional)
1 Hf 0.000 0.000 0.000
2 Hf 0.000 0.500 0.000
3 Hf 0.500 0.000 0.000
4 Zr 0.500 0.500 0.000
5 S 0.235 0.740 0.212
6 S 0.238 0.238 0.211
7 S 0.260 0.260 0.788
8 S 0.260 0.765 0.788
9 S 0.740 0.235 0.212
10 S 0.740 0.740 0.212
11 S 0.762 0.762 0.789
12 S 0.765 0.260 0.788

Values from the calculation:
formation energy without anion corrections	-1.566	eV/atom
SG	C2/m, No. 12

***

Entry 13:
Below is a relaxed structure of CeZrAgRu, with properties calculated at the PBE level.

Cell lengths 4.899, 4.899, 4.899 Å; angles 60.00, 60.00, 60.00 degrees
Element x y z (fractional)
1 Ce 0.000 0.000 0.000
2 Zr 0.500 0.500 0.500
3 Ag 0.250 0.250 0.250
4 Ru 0.750 0.750 0.750

Values from the calculation:
calculated formation energy	-110	meV/atom
SG	F-43m, No. 216

***

Entry 14:
Below is a relaxed structure of KRePb2, with properties calculated at the PBE level.

Cell lengths 4.995, 4.995, 4.250 Å; angles 90.00, 90.00, 90.00 degrees
Element x y z (fractional)
1 K 0.000 0.000 0.000
2 Re 0.500 0.500 0.000
3 Pb 0.000 0.500 0.500
4 Pb 0.500 0.000 0.500

Values from the calculation:
calculated formation energy	1125	meV/atom
energy above the lowest structure with this stoichiometry	646.8	meV per atom
SG	P4/mmm, No. 123

***

Entry 15:
Below is a relaxed structure of AsW2Cl, with properties calculated at the PBE level.

Cell lengths 2.820, 4.296, 5.623 Å; angles 90.00, 90.00, 90.00 degrees
Element x y z (fractional)
1 As 0.000 0.000 0.000
2 W 0.000 0.500 0.500
3 W 0.500 0.500 0.000
4 Cl 0.500 0.000 0.500

Values from the calculation:
formation energy without anion corrections	0.896	eV/atom
energy above the lowest structure with this stoichiometry	908.5	meV per atom
SG	Pmmm, No. 47

***

Entry 16:
Below is a relaxed structure of Ta2CrIr9, with properties calculated at the PBE level.

Cell lengths 4.774, 6.175, 6.776 Å; angles 111.36, 90.15, 104.53 degrees
Element x y z (fractional)
1 Ta 0.091 0.269 0.086
2 Ta 0.909 0.731 0.914
3 Cr 0.000 0.500 0.500
4 Ir 0.168 0.998 0.668
5 Ir 0.253 0.758 0.250
6 Ir 0.327 0.496 0.822
7 Ir 0.412 0.259 0.417
8 Ir 0.500 0.000 0.000
9 Ir 0.588 0.741 0.583
10 Ir 0.673 0.504 0.178
11 Ir 0.747 0.242 0.750
12 Ir 0.832 0.002 0.332

Values from the calculation:
calculated formation energy	-301	meV/atom
SG	P-1, No. 2

***

Entry 17:
Below is a relaxed structure of Sm4Se3O, with properties calculated at the PBE level.

Cell lengths 9.781, 7.848, 5.704 Å; angles 90.00, 90.00, 90.00 degrees
Element x y z (fractional)
1 Sm 0.000 0.132 0.000
2 Sm 0.000 0.853 0.500
3 Sm 0.215 0.265 0.499
4 Sm 0.285 0.735 0.999
5 Sm 0.500 0.147 0.000
6 Sm 0.500 0.868 0.500
7 Sm 0.715 0.735 0.999
8 Sm 0.785 0.265 0.499
9 Se 0.000 0.767 0.000
10 Se 0.238 0.354 0.000
11 Se 0.262 0.646 0.500
12 Se 0.500 0.233 0.500
13 Se 0.738 0.646 0.500
14 Se 0.762 0.354 0.000
15 O 0.000 0.147 0.498
16 O 0.500 0.853 0.998

Values from the calculation:
formation energy without anion corrections	-1.830	eV/atom
SG	Pmn2_1, No. 31

***

Entry 18:
Below is a relaxed structure of OsPdN3, with properties calculated at the PBE level.

Cell lengths 3.843, 3.843, 3.843 Å; angles 90.00, 90.00, 90.00 degrees
Element x y z (fractional)
1 Os 0.000 0.000 0.000
2 Pd 0.500 0.500 0.500
3 N 0.000 0.500 0.500
4 N 0.500 0.000 0.500
5 N 0.500 0.500 0.000

Values from the calculation:
formation energy without anion corrections	2.613	eV/atom
SG	Pm-3m, No. 221

***

Entry 19:
Below is a relaxed structure of AcDyZnAg, with properties calculated at the PBE level.

Cell lengths 5.355, 5.355, 5.355 Å; angles 60.00, 60.00, 60.00 degrees
Element x y z (fractional)
1 Ac 0.000 0.000 0.000
2 Dy 0.500 0.500 0.500
3 Zn 0.250 0.250 0.250
4 Ag 0.750 0.750 0.750

Values from the calculation:
calculated formation energy	-237	meV/atom
energy above the lowest structure with this stoichiometry	39.1	meV per atom
SG	F-43m, No. 216

***

Entry 20:
Below is a relaxed structure of KZnCd, with properties calculated at the PBE level.

Cell lengths 5.235, 5.235, 5.235 Å; angles 60.00, 60.00, 60.00 degrees
Element x y z (fractional)
1 K 0.000 0.000 0.000
2 Zn 0.750 0.750 0.750
3 Cd 0.500 0.500 0.500

Values from the calculation:
calculated formation energy	179	meV/atom
energy above the lowest structure with this stoichiometry	198.9	meV per atom
SG	F-43m, No. 216